a | This record from Alexandria describes an optimized crystal structure of SbPdN2F. The functional is GGA-PBE.

abc: 4.0634 4.0634 4.0574
angles: 90.00 90.00 90.00
Closest atoms and distances in Å follow each position.
Sites, in units of the cell vectors:
Pd  0.5000  0.5000  0.5000  8 N 2.87, 4 F 2.87
Sb  0.0000  0.0000  0.0000  2 F 2.03, 4 N 2.03
N  0.0000  0.5000  0.0000  2 Sb 2.03
N  0.5000  0.0000  0.0000  2 Sb 2.03
F  0.0000  0.0000  0.5000  2 Sb 2.03

Computed properties:
- Size of the total moment: 0.0 Bohr magnetons per cell



b | This record from Alexandria describes an optimized crystal structure of SbPdN2F. The functional is GGA-PBE.

abc: 4.0676 4.0676 4.0642
angles: 90.00 90.00 90.00
Closest atoms and distances in Å follow each position.
Sites, in units of the cell vectors:
F  0.0000  0.0000  0.5000  2 Pd 2.03
Sb  0.5000  0.5000  0.5000  8 N 2.88, 4 F 2.88
N  0.0000  0.5000  0.0000  2 Pd 2.03
N  0.5000  0.0000  0.0000  2 Pd 2.03
Pd  0.0000  0.0000  0.0000  2 F 2.03, 4 N 2.03

Computed properties:
- Size of the total moment: 0.2 Bohr magnetons per cell



Most stable structure - a; separation to the second - 9.4 kJ/mol of atoms.



a | This record from Alexandria describes an optimized crystal structure of ScPdN2F. The functional is GGA-PBE.

abc: 3.9665 3.9665 4.0578
angles: 90.00 90.00 90.00
Closest atoms and distances in Å follow each position.
Sites, in units of the cell vectors:
Pd  0.0000  0.0000  0.0000  4 N 1.98, 2 F 2.03
F  0.0000  0.0000  0.5000  2 Pd 2.03
Sc  0.5000  0.5000  0.5000  4 F 2.80, 8 N 2.84
N  0.0000  0.5000  0.0000  2 Pd 1.98
N  0.5000  0.0000  0.0000  2 Pd 1.98

Computed properties:
- Size of the total moment: 0.0 Bohr magnetons per cell



b | This record from Alexandria describes an optimized crystal structure of ScPdN2F. The functional is GGA-PBE.

abc: 4.2159 4.2159 3.8933
angles: 90.00 90.00 90.00
Closest atoms and distances in Å follow each position.
Sites, in units of the cell vectors:
F  0.0000  0.0000  0.5000  2 Sc 1.95
Sc  0.0000  0.0000  0.0000  2 F 1.95, 4 N 2.11
N  0.0000  0.5000  0.0000  2 Sc 2.11
N  0.5000  0.0000  0.0000  2 Sc 2.11
Pd  0.5000  0.5000  0.5000  8 N 2.87, 4 F 2.98

Computed properties:
- Size of the total moment: 0.4 Bohr magnetons per cell



Most stable structure - b; separation to the second - 10.6 kJ/mol of atoms.



a | This record from Alexandria describes an optimized crystal structure of PdSeN2F. The functional is GGA-PBE.

abc: 3.9453 3.9453 3.9785
angles: 90.00 90.00 90.00
Closest atoms and distances in Å follow each position.
Sites, in units of the cell vectors:
N  0.5000  0.0000  0.0000  2 Se 1.97
N  0.0000  0.5000  0.0000  2 Se 1.97
F  0.0000  0.0000  0.5000  2 Se 1.99
Se  0.0000  0.0000  0.0000  4 N 1.97, 2 F 1.99
Pd  0.5000  0.5000  0.5000  4 F 2.79, 8 N 2.80

Computed properties:
- Size of the total moment: 0.0 Bohr magnetons per cell



b | This record from Alexandria describes an optimized crystal structure of PdSeN2F. The functional is GGA-PBE.

abc: 3.7727 3.7727 5.6712
angles: 90.00 90.00 90.00
Closest atoms and distances in Å follow each position.
Sites, in units of the cell vectors:
Pd  0.0000  0.0000  0.0000  4 N 1.89
F  0.5000  0.5000  0.5000  4 Se 2.67
N  0.5000  0.0000  0.0000  2 Pd 1.89
N  0.0000  0.5000  0.0000  2 Pd 1.89
Se  0.0000  0.0000  0.5000  4 F 2.67, 2 Pd 2.84

Computed properties:
- Size of the total moment: 0.4 Bohr magnetons per cell



c | This record from Alexandria describes an optimized crystal structure of PdSeN2F. The functional is GGA-PBE.

abc: 4.0440 4.0440 4.0436
angles: 90.00 90.00 90.00
Closest atoms and distances in Å follow each position.
Sites, in units of the cell vectors:
Se  0.5000  0.5000  0.5000  8 N 2.86, 4 F 2.86
F  0.0000  0.0000  0.5000  2 Pd 2.02
N  0.5000  0.0000  0.0000  2 Pd 2.02
N  0.0000  0.5000  0.0000  2 Pd 2.02
Pd  0.0000  0.0000  0.0000  2 F 2.02, 4 N 2.02

Computed properties:
- Size of the total moment: 0.9 Bohr magnetons per cell



Most stable structure - c; separation to the second - 2.6 kJ/mol of atoms.